First-principles (GGA-PBEsol) data for a geometry-optimized Tc2TeOs structure, as listed in Alexandria.

Cell and atoms, written as POSCAR:
```
Tc2TeOs
1.0
2.8260 -0.0033 0.0000
-1.3327 2.4920 0.0000
0.0000 0.0000 9.3511
Te Tc Os
1 2 1
Direct
0.0000 0.0000 0.5032 Te
0.0000 0.0000 0.9969 Tc
0.5000 0.5000 0.7740 Tc
0.5000 0.5000 0.2258 Os
```

Summary:
Formation energy without anion corrections, kJ/mol of atoms: 84.6
Calculated density, g/cm³: 12.96
Total magnetic moment, Bohr magnetons per cell: 0.002

***

First-principles (GGA-PBEsol) data for a geometry-optimized MgSbTe2 structure, as listed in Alexandria.

Cell and atoms, written as POSCAR:
```
MgSbTe2
1.0
-3.0288 2.0823 2.2779
-2.8181 -3.1673 -0.8518
1.7759 -2.9372 5.0462
Te Sb Mg
2 1 1
Direct
0.5000 0.5000 0.3750 Te
0.0000 0.0000 0.8750 Te
0.5000 0.5000 0.8749 Sb
0.0000 0.0000 0.3751 Mg
```

Summary:
Formation energy without anion corrections, kJ/mol of atoms: -37.3
Calculated density, g/cm³: 5.84
Total magnetic moment, Bohr magnetons per cell: 0.000

***

First-principles (GGA-PBEsol) data for a geometry-optimized Rb2BaBIr structure, as listed in Alexandria.

Cell and atoms, written as POSCAR:
```
Rb2BaBIr
1.0
-4.9630 -1.8398 1.7373
2.3395 -0.9354 5.6927
-1.5883 5.8011 1.6059
Ba Rb Ir B
1 2 1 1
Direct
0.5000 0.0000 0.0000 Ba
0.0000 0.5000 0.0000 Rb
0.0000 0.0000 0.5000 Rb
0.0000 0.0000 0.0000 Ir
0.5000 0.5000 0.5000 B
```

Summary:
Calculated density, g/cm³: 3.93
Total magnetic moment, Bohr magnetons per cell: 2.368
E_form, eV/atom: 1.38

***

Look up the calculated density of the third one. 3.93 g/cm³

***

Among the records above, which one has the lowest calculated density? Rb2BaBIr